# BeRe2Pt PBE-GGA optimized geometry
data_BeRe2Pt
_chemical_formula_sum 'Be4 Re8 Pt4'
_cell_length_a 6.0640
_cell_length_b 6.0640
_cell_length_c 6.0640
_cell_angle_alpha 90.00
_cell_angle_beta 90.00
_cell_angle_gamma 90.00
_symmetry_space_group_name_H-M 'F -4 3 m'
_symmetry_Int_Tables_number 216
_symmetry_space_group_name_Hall 'F -4 2 3'
loop_
_atom_site_label
_atom_site_fract_x
_atom_site_fract_y
_atom_site_fract_z
Be1 0.0000 0.0000 0.0000
Re1 0.0000 0.0000 0.5000
Re2 0.2500 0.2500 0.7500
Pt1 0.2500 0.2500 0.2500
# Total DFT energy (no corrections), eV for the cell shown: -135.92

# BeRePt PBE-GGA optimized geometry
data_BeRePt
_chemical_formula_sum 'Be4 Re4 Pt4'
_cell_length_a 5.5124
_cell_length_b 5.5124
_cell_length_c 5.5124
_cell_angle_alpha 90.00
_cell_angle_beta 90.00
_cell_angle_gamma 90.00
_symmetry_space_group_name_H-M 'F -4 3 m'
_symmetry_Int_Tables_number 216
_symmetry_space_group_name_Hall 'F -4 2 3'
loop_
_atom_site_label
_atom_site_fract_x
_atom_site_fract_y
_atom_site_fract_z
Be1 0.0000 0.0000 0.0000
Re1 0.2500 0.2500 0.2500
Pt1 0.2500 0.2500 0.7500
# Total DFT energy (no corrections), eV for the cell shown: -84.67

# BeSbPt PBE-GGA optimized geometry
data_BeSbPt
_chemical_formula_sum 'Be4 Sb4 Pt4'
_cell_length_a 5.8693
_cell_length_b 5.8693
_cell_length_c 5.8693
_cell_angle_alpha 90.00
_cell_angle_beta 90.00
_cell_angle_gamma 90.00
_symmetry_space_group_name_H-M 'F -4 3 m'
_symmetry_Int_Tables_number 216
_symmetry_space_group_name_Hall 'F -4 2 3'
loop_
_atom_site_label
_atom_site_fract_x
_atom_site_fract_y
_atom_site_fract_z
Be1 0.0000 0.0000 0.0000
Sb1 0.2500 0.2500 0.2500
Pt1 0.2500 0.2500 0.7500
# Total DFT energy (no corrections), eV for the cell shown: -57.29

# ScBePt PBE-GGA optimized geometry
data_ScBePt
_chemical_formula_sum 'Sc4 Be4 Pt4'
_cell_length_a 6.0205
_cell_length_b 6.0205
_cell_length_c 6.0205
_cell_angle_alpha 90.00
_cell_angle_beta 90.00
_cell_angle_gamma 90.00
_symmetry_space_group_name_H-M 'F -4 3 m'
_symmetry_Int_Tables_number 216
_symmetry_space_group_name_Hall 'F -4 2 3'
loop_
_atom_site_label
_atom_site_fract_x
_atom_site_fract_y
_atom_site_fract_z
Sc1 0.0000 0.0000 0.0000
Be1 0.0000 0.0000 0.5000
Pt1 0.2500 0.2500 0.7500
# Total DFT energy (no corrections), eV for the cell shown: -70.63

# ScBe2Pt PBE-GGA optimized geometry
data_ScBe2Pt
_chemical_formula_sum 'Sc4 Be8 Pt4'
_cell_length_a 6.0381
_cell_length_b 6.0381
_cell_length_c 6.0381
_cell_angle_alpha 90.00
_cell_angle_beta 90.00
_cell_angle_gamma 90.00
_symmetry_space_group_name_H-M 'F -4 3 m'
_symmetry_Int_Tables_number 216
_symmetry_space_group_name_Hall 'F -4 2 3'
loop_
_atom_site_label
_atom_site_fract_x
_atom_site_fract_y
_atom_site_fract_z
Sc1 0.0000 0.0000 0.0000
Be1 0.0000 0.0000 0.5000
Be2 0.2500 0.2500 0.7500
Pt1 0.2500 0.2500 0.2500
# Total DFT energy (no corrections), eV for the cell shown: -85.73

# ScBe2Pt2 PBE-GGA optimized geometry
data_ScBe2Pt2
_chemical_formula_sum 'Sc2 Be4 Pt4'
_cell_length_a 3.5753
_cell_length_b 3.5753
_cell_length_c 11.2963
_cell_angle_alpha 90.00
_cell_angle_beta 90.00
_cell_angle_gamma 90.00
_symmetry_space_group_name_H-M 'I 4/m m m'
_symmetry_Int_Tables_number 139
_symmetry_space_group_name_Hall '-I 4 2'
loop_
_atom_site_label
_atom_site_fract_x
_atom_site_fract_y
_atom_site_fract_z
Sc1 0.0000 0.0000 0.0000
Be1 0.0000 0.5000 0.2500
Pt1 0.0000 0.0000 0.3793
# Total DFT energy (no corrections), eV for the cell shown: -59.72

# ScBePt PBE-GGA optimized geometry
data_ScBePt
_chemical_formula_sum 'Sc4 Be4 Pt4'
_cell_length_a 6.0682
_cell_length_b 6.0682
_cell_length_c 6.0682
_cell_angle_alpha 90.00
_cell_angle_beta 90.00
_cell_angle_gamma 90.00
_symmetry_space_group_name_H-M 'F -4 3 m'
_symmetry_Int_Tables_number 216
_symmetry_space_group_name_Hall 'F -4 2 3'
loop_
_atom_site_label
_atom_site_fract_x
_atom_site_fract_y
_atom_site_fract_z
Sc1 0.0000 0.0000 0.0000
Be1 0.2500 0.2500 0.7500
Pt1 0.2500 0.2500 0.2500
# Total DFT energy (no corrections), eV for the cell shown: -64.29

# ScBe2Pt2 PBE-GGA optimized geometry
data_ScBe2Pt2
_chemical_formula_sum 'Sc2 Be4 Pt4'
_cell_length_a 6.9475
_cell_length_b 6.9475
_cell_length_c 2.7625
_cell_angle_alpha 90.00
_cell_angle_beta 90.00
_cell_angle_gamma 90.00
_symmetry_space_group_name_H-M 'P 4/m b m'
_symmetry_Int_Tables_number 127
_symmetry_space_group_name_Hall '-P 4 2ab'
loop_
_atom_site_label
_atom_site_fract_x
_atom_site_fract_y
_atom_site_fract_z
Sc1 0.0000 0.0000 0.0000
Be1 0.1155 0.3845 0.0000
Pt1 0.1762 0.6762 0.5000
# Total DFT energy (no corrections), eV for the cell shown: -60.04

# ScBePt2 PBE-GGA optimized geometry
data_ScBePt2
_chemical_formula_sum 'Sc4 Be4 Pt8'
_cell_length_a 6.2848
_cell_length_b 6.2848
_cell_length_c 6.2848
_cell_angle_alpha 90.00
_cell_angle_beta 90.00
_cell_angle_gamma 90.00
_symmetry_space_group_name_H-M 'F -4 3 m'
_symmetry_Int_Tables_number 216
_symmetry_space_group_name_Hall 'F -4 2 3'
loop_
_atom_site_label
_atom_site_fract_x
_atom_site_fract_y
_atom_site_fract_z
Sc1 0.0000 0.0000 0.0000
Be1 0.2500 0.2500 0.7500
Pt1 0.0000 0.0000 0.5000
Pt2 0.2500 0.2500 0.2500
# Total DFT energy (no corrections), eV for the cell shown: -97.26

# Sc2BePt PBE-GGA optimized geometry
data_Sc2BePt
_chemical_formula_sum 'Sc8 Be4 Pt4'
_cell_length_a 6.3287
_cell_length_b 6.3287
_cell_length_c 6.3287
_cell_angle_alpha 90.00
_cell_angle_beta 90.00
_cell_angle_gamma 90.00
_symmetry_space_group_name_H-M 'F -4 3 m'
_symmetry_Int_Tables_number 216
_symmetry_space_group_name_Hall 'F -4 2 3'
loop_
_atom_site_label
_atom_site_fract_x
_atom_site_fract_y
_atom_site_fract_z
Sc1 0.0000 0.0000 0.0000
Sc2 0.2500 0.2500 0.2500
Be1 0.0000 0.0000 0.5000
Pt1 0.2500 0.2500 0.7500
# Total DFT energy (no corrections), eV for the cell shown: -98.83

# Be2SiPt PBE-GGA optimized geometry
data_Be2SiPt
_chemical_formula_sum 'Be8 Si4 Pt4'
_cell_length_a 5.6964
_cell_length_b 5.6964
_cell_length_c 5.6964
_cell_angle_alpha 90.00
_cell_angle_beta 90.00
_cell_angle_gamma 90.00
_symmetry_space_group_name_H-M 'F -4 3 m'
_symmetry_Int_Tables_number 216
_symmetry_space_group_name_Hall 'F -4 2 3'
loop_
_atom_site_label
_atom_site_fract_x
_atom_site_fract_y
_atom_site_fract_z
Be1 0.0000 0.0000 0.0000
Be2 0.2500 0.2500 0.2500
Si1 0.0000 0.0000 0.5000
Pt1 0.2500 0.2500 0.7500
# Total DFT energy (no corrections), eV for the cell shown: -77.69

# Be2SiPt2 PBE-GGA optimized geometry
data_Be2SiPt2
_chemical_formula_sum 'Be4 Si2 Pt4'
_cell_length_a 3.1725
_cell_length_b 3.1725
_cell_length_c 12.5242
_cell_angle_alpha 90.00
_cell_angle_beta 90.00
_cell_angle_gamma 90.00
_symmetry_space_group_name_H-M 'I 4/m m m'
_symmetry_Int_Tables_number 139
_symmetry_space_group_name_Hall '-I 4 2'
loop_
_atom_site_label
_atom_site_fract_x
_atom_site_fract_y
_atom_site_fract_z
Be1 0.0000 0.5000 0.2500
Si1 0.0000 0.0000 0.0000
Pt1 0.0000 0.0000 0.3895
# Total DFT energy (no corrections), eV for the cell shown: -54.82

# SmBePt PBE-GGA optimized geometry
data_SmBePt
_chemical_formula_sum 'Sm4 Be4 Pt4'
_cell_length_a 6.1649
_cell_length_b 6.1649
_cell_length_c 6.1649
_cell_angle_alpha 90.00
_cell_angle_beta 90.00
_cell_angle_gamma 90.00
_symmetry_space_group_name_H-M 'F -4 3 m'
_symmetry_Int_Tables_number 216
_symmetry_space_group_name_Hall 'F -4 2 3'
loop_
_atom_site_label
_atom_site_fract_x
_atom_site_fract_y
_atom_site_fract_z
Sm1 0.0000 0.0000 0.0000
Be1 0.2500 0.2500 0.7500
Pt1 0.0000 0.0000 0.5000
# Total DFT energy (no corrections), eV for the cell shown: -62.08

# SmBePt PBE-GGA optimized geometry
data_SmBePt
_chemical_formula_sum 'Sm4 Be4 Pt4'
_cell_length_a 6.5786
_cell_length_b 6.5786
_cell_length_c 6.5786
_cell_angle_alpha 90.00
_cell_angle_beta 90.00
_cell_angle_gamma 90.00
_symmetry_space_group_name_H-M 'F -4 3 m'
_symmetry_Int_Tables_number 216
_symmetry_space_group_name_Hall 'F -4 2 3'
loop_
_atom_site_label
_atom_site_fract_x
_atom_site_fract_y
_atom_site_fract_z
Sm1 0.0000 0.0000 0.0000
Be1 0.2500 0.2500 0.7500
Pt1 0.2500 0.2500 0.2500
# Total DFT energy (no corrections), eV for the cell shown: -55.07